[1]
Computed, not measured: crystalline Cs2SbTe4 at its relaxed geometry at the PBE-GGA level of DFT.

Its uncorrected formation energy is -0.423 eV/atom. As for the density of states at the Fermi level: 4.11 states/eV/f.u. Its final energy is -3.05 eV per atom.

It has space group P2/m (No. 10), with a = 8.8885 Å, b = 4.2810 Å, c = 9.1621 Å, α = 90.00°, β = 107.88° and γ = 90.00°. The distinct sites, in fractional coordinates, are Cs at (0.2111, 0.0000, 0.3191), Sb at (0.5000, 0.5000, 0.0000), Te at (0.1183, 0.5000, 0.9295) and Te at (0.3963, 0.0000, 0.7564).

=====

[2]
Computed, not measured: crystalline InCo2CuN at its relaxed geometry at the PBE-GGA level of DFT.

Its uncorrected formation energy is 0.113 eV/atom. As for the density of states at the Fermi level: 2.58 states/eV/f.u. Its final energy is -5.76 eV per atom.

It has space group P4/mmm (No. 123), with a = 3.8426 Å, b = 3.8426 Å, c = 4.0169 Å, α = 90.00°, β = 90.00° and γ = 90.00°. The distinct sites, in fractional coordinates, are In at (0.0000, 0.0000, 0.0000), Co at (0.0000, 0.5000, 0.5000), Cu at (0.5000, 0.5000, 0.0000) and N at (0.5000, 0.5000, 0.5000).